A relaxed MoWN2 crystal, computed with GGA-PBE.

Computed properties:
Energy relative to the lowest polymorph listed for this composition, eV/atom: 0.1465
Energy relative to the elements, uncorrected, eV/f.u.: -0.5
Symmetry: R3m
Raw total energy, eV per atom: -10.243
DOS(E_F), states/eV/atom: 0.312

Lattice parameters (Å, degrees): 6.0159 6.0159 6.0159 27.54 27.54 27.54
Sites, in units of the cell vectors:
Mo: 0.0000 0.0000 0.0000
W: 0.8348 0.8348 0.8348
N: 0.2543 0.2543 0.2543
N: 0.4159 0.4159 0.4159

A relaxed MoW3N crystal, computed with GGA-PBE.

Computed properties:
Energy relative to the lowest polymorph listed for this composition, eV/atom: 3.1839
Energy relative to the elements, uncorrected, eV/f.u.: 16.4
Symmetry: Pm-3m
Raw total energy, eV per atom: -8.326
DOS(E_F), states/eV/atom: 0.829

Lattice parameters (Å, degrees): 4.7224 4.7224 4.7224 90.00 90.00 90.00
Sites, in units of the cell vectors:
Mo: 0.0000 0.0000 0.0000
W: 0.0000 0.0000 0.5000
W: 0.0000 0.5000 0.0000
W: 0.5000 0.0000 0.0000
N: 0.5000 0.5000 0.5000

A relaxed Mo6WN8 crystal, computed with GGA-PBE.

Computed properties:
Energy relative to the elements, uncorrected, eV/f.u.: 1.1
Symmetry: P-3
Raw total energy, eV per atom: -9.565
DOS(E_F), states/eV/atom: 0.315

Lattice parameters (Å, degrees): 6.4769 6.4769 4.4442 90.00 90.00 120.00
Sites, in units of the cell vectors:
Mo: 0.0757 0.6507 0.2120
Mo: 0.3493 0.4250 0.2120
Mo: 0.4250 0.0757 0.7880
Mo: 0.5750 0.9243 0.2120
Mo: 0.6507 0.5750 0.7880
Mo: 0.9243 0.3493 0.7880
W: 0.0000 0.0000 0.5000
N: 0.0320 0.7398 0.7573
N: 0.2602 0.2922 0.7573
N: 0.2922 0.0320 0.2427
N: 0.3333 0.6667 0.4686
N: 0.6667 0.3333 0.5314
N: 0.7078 0.9680 0.7573
N: 0.7398 0.7078 0.2427
N: 0.9680 0.2602 0.2427